Entry from the Alexandria database: a relaxed Sr2ScSb3Pt4 crystal (PBE).

abc: 4.572 4.572 11.204
angles: 90.00 90.00 90.00
Fractional coordinates of all 10 atoms:
Sr1 0.500 0.000 0.234
Sr2 0.000 0.500 0.766
Sc1 0.500 0.500 0.500
Sb1 0.000 0.000 0.500
Sb2 0.500 0.000 0.871
Sb3 0.000 0.500 0.129
Pt1 0.500 0.500 0.000
Pt2 0.000 0.000 0.000
Pt3 0.500 0.000 0.634
Pt4 0.000 0.500 0.366

Total DFT energy (no corrections) = -55.18 eV for the cell shown
Formation energy without anion corrections = -0.895 eV/atom
V = 234.2 Å³ per cell
SG = P-4m2
Magnetic moment = 0.000 μB/cell